[1]
# RbAlSbS4 GGA-PBE optimized geometry
# * DOS at the Fermi energy: 0.3628 states/eV/atom
# * total magnetic moment: 0.0000 μB per atom
# * raw formation energy: -696 meV/atom
# * final energy: -4.316 eV per atom
data_RbAlSbS4
_chemical_formula_sum 'Rb2 Al2 Sb2 S8'
_space_group_name_H-M_alt 'P 1 21/m 1'
_space_group_IT_number 11
_cell_length_a 6.338
_cell_length_b 6.915
_cell_length_c 8.790
_cell_angle_alpha 90.00
_cell_angle_beta 100.40
_cell_angle_gamma 90.00
loop_
_space_group_symop_operation_xyz
'x,y,z'
'-x,-y,-z'
'-x,y+1/2,-z'
'x,-y+1/2,z'
loop_
_atom_site_label
_atom_site_type_symbol
_atom_site_fract_x
_atom_site_fract_y
_atom_site_fract_z
Rb1 Rb 0.200 0.250 0.072
Al1 Al 0.360 0.250 0.662
Sb1 Sb 0.167 0.750 0.441
S1 S 0.133 0.003 0.698
S2 S 0.317 0.750 0.184
S3 S 0.437 0.250 0.425

---

[2]
# TbPm2YTe5 GGA-PBE optimized geometry
# * DOS at the Fermi energy: 0.5170 states/eV/atom
# * total magnetic moment: 0.0680 μB per atom
# * raw formation energy: -772 meV/atom
# * final energy: -4.806 eV per atom
data_TbPm2YTe5
_chemical_formula_sum 'Tb1 Pm2 Y1 Te5'
_space_group_name_H-M_alt 'P 4/m m m'
_space_group_IT_number 123
_space_group_name_Hall '-P 4 2'
_cell_length_a 5.566
_cell_length_b 5.566
_cell_length_c 11.573
_cell_angle_alpha 90.00
_cell_angle_beta 90.00
_cell_angle_gamma 90.00
loop_
_atom_site_label
_atom_site_type_symbol
_atom_site_fract_x
_atom_site_fract_y
_atom_site_fract_z
Tb1 Tb 0.000 0.000 0.000
Pm1 Pm 0.500 0.500 0.158
Y1 Y 0.000 0.000 0.500
Te1 Te 0.000 0.000 0.255
Te2 Te 0.000 0.500 0.000
Te3 Te 0.500 0.500 0.500

---

[3]
# AsBr3O GGA-PBE optimized geometry
# * DOS at the Fermi energy: 0.6411 states/eV/atom
# * total magnetic moment: 0.0000 μB per atom
# * raw formation energy: 753 meV/atom
# * final energy: -2.172 eV per atom
data_AsBr3O
_chemical_formula_sum 'As1 Br3 O1'
_space_group_name_H-M_alt 'P m -3 m'
_space_group_IT_number 221
_space_group_name_Hall '-P 4 2 3'
_cell_length_a 4.745
_cell_length_b 4.745
_cell_length_c 4.745
_cell_angle_alpha 90.00
_cell_angle_beta 90.00
_cell_angle_gamma 90.00
loop_
_atom_site_label
_atom_site_type_symbol
_atom_site_fract_x
_atom_site_fract_y
_atom_site_fract_z
As1 As 0.000 0.000 0.000
Br1 Br 0.000 0.500 0.500
O1 O 0.500 0.500 0.500

---

[4]
# Pm4ThBi5 GGA-PBE optimized geometry
# * DOS at the Fermi energy: 0.3842 states/eV/atom
# * total magnetic moment: 0.0000 μB per atom
# * ΔH_f (0 K): -876.3 meV/atom
# * final energy: -5.459 eV per atom
data_Pm4ThBi5
_chemical_formula_sum 'Pm8 Th2 Bi10'
_space_group_name_H-M_alt 'I m m m'
_space_group_IT_number 71
_space_group_name_Hall '-I 2 2'
_cell_length_a 4.588
_cell_length_b 6.479
_cell_length_c 22.919
_cell_angle_alpha 90.00
_cell_angle_beta 90.00
_cell_angle_gamma 90.00
loop_
_atom_site_label
_atom_site_type_symbol
_atom_site_fract_x
_atom_site_fract_y
_atom_site_fract_z
Pm1 Pm 0.000 0.000 0.101
Pm2 Pm 0.000 0.000 0.299
Th1 Th 0.000 0.000 0.500
Bi1 Bi 0.000 0.500 0.100
Bi2 Bi 0.000 0.500 0.300
Bi3 Bi 0.000 0.500 0.500

---

[5]
# RhPb2Cl GGA-PBE optimized geometry
# * DOS at the Fermi energy: 0.4946 states/eV/atom
# * total magnetic moment: 0.0000 μB per atom
# * raw formation energy: -127 meV/atom
# * excess energy over the best structure of this formula in the dataset: 118 meV/atom
# * final energy: -4.280 eV per atom
data_RhPb2Cl
_chemical_formula_sum 'Rh1 Pb2 Cl1'
_space_group_name_H-M_alt 'P m m m'
_space_group_IT_number 47
_cell_length_a 3.205
_cell_length_b 5.297
_cell_length_c 5.311
_cell_angle_alpha 90.00
_cell_angle_beta 90.00
_cell_angle_gamma 90.00
loop_
_space_group_symop_operation_xyz
'x,y,z'
'-x,-y,-z'
'-x,-y,z'
'x,y,-z'
'x,-y,-z'
'-x,y,z'
'-x,y,-z'
'x,-y,z'
loop_
_atom_site_label
_atom_site_type_symbol
_atom_site_fract_x
_atom_site_fract_y
_atom_site_fract_z
Rh1 Rh 0.000 0.000 0.000
Pb1 Pb 0.500 0.000 0.500
Pb2 Pb 0.500 0.500 0.000
Cl1 Cl 0.000 0.500 0.500

---

[6]
# BIO GGA-PBE optimized geometry
# * DOS at the Fermi energy: 0.0000 states/eV/atom
# * total magnetic moment: 0.0000 μB per atom
# * raw formation energy: -1094 meV/atom
# * final energy: -5.489 eV per atom
data_BIO
_chemical_formula_sum 'B4 I4 O4'
_space_group_name_H-M_alt 'P 1 21/c 1'
_space_group_IT_number 14
_cell_length_a 6.893
_cell_length_b 6.592
_cell_length_c 9.921
_cell_angle_alpha 90.00
_cell_angle_beta 114.85
_cell_angle_gamma 90.00
loop_
_space_group_symop_operation_xyz
'x,y,z'
'-x,-y,-z'
'-x,y+1/2,-z+1/2'
'x,-y+1/2,z+1/2'
loop_
_atom_site_label
_atom_site_type_symbol
_atom_site_fract_x
_atom_site_fract_y
_atom_site_fract_z
B1 B 0.089 0.051 0.089
I1 I 0.301 0.170 0.295
O1 O 0.124 0.605 0.504

---

Repeat the third record exactly.
# AsBr3O GGA-PBE optimized geometry
# * DOS at the Fermi energy: 0.6411 states/eV/atom
# * total magnetic moment: 0.0000 μB per atom
# * raw formation energy: 753 meV/atom
# * final energy: -2.172 eV per atom
data_AsBr3O
_chemical_formula_sum 'As1 Br3 O1'
_space_group_name_H-M_alt 'P m -3 m'
_space_group_IT_number 221
_space_group_name_Hall '-P 4 2 3'
_cell_length_a 4.745
_cell_length_b 4.745
_cell_length_c 4.745
_cell_angle_alpha 90.00
_cell_angle_beta 90.00
_cell_angle_gamma 90.00
loop_
_atom_site_label
_atom_site_type_symbol
_atom_site_fract_x
_atom_site_fract_y
_atom_site_fract_z
As1 As 0.000 0.000 0.000
Br1 Br 0.000 0.500 0.500
O1 O 0.500 0.500 0.500

---

Please write out number 4 again, unchanged.
# Pm4ThBi5 GGA-PBE optimized geometry
# * DOS at the Fermi energy: 0.3842 states/eV/atom
# * total magnetic moment: 0.0000 μB per atom
# * ΔH_f (0 K): -876.3 meV/atom
# * final energy: -5.459 eV per atom
data_Pm4ThBi5
_chemical_formula_sum 'Pm8 Th2 Bi10'
_space_group_name_H-M_alt 'I m m m'
_space_group_IT_number 71
_space_group_name_Hall '-I 2 2'
_cell_length_a 4.588
_cell_length_b 6.479
_cell_length_c 22.919
_cell_angle_alpha 90.00
_cell_angle_beta 90.00
_cell_angle_gamma 90.00
loop_
_atom_site_label
_atom_site_type_symbol
_atom_site_fract_x
_atom_site_fract_y
_atom_site_fract_z
Pm1 Pm 0.000 0.000 0.101
Pm2 Pm 0.000 0.000 0.299
Th1 Th 0.000 0.000 0.500
Bi1 Bi 0.000 0.500 0.100
Bi2 Bi 0.000 0.500 0.300
Bi3 Bi 0.000 0.500 0.500